Here is crystalline HfZrBiP at its relaxed geometry from the Open Quantum Materials Database. Energies are from GGA-PBE.

Space-group type: P-3m1, No. 164
Total moment, μB/f.u.: 0.007

Cell lengths 3.851, 3.851, 13.574 Å; angles 90.00, 90.00, 120.00 degrees
Fractional positions:
1 Hf 0.333 0.667 0.404
2 Hf 0.667 0.333 0.596
3 Zr 0.333 0.667 0.099
4 Zr 0.667 0.333 0.901
5 Bi 0.333 0.667 0.748
6 Bi 0.667 0.333 0.252
7 P 0.000 0.000 0.000
8 P 0.000 0.000 0.500



Here is crystalline HfZr3Bi2P2 at its relaxed geometry from the Open Quantum Materials Database. Energies are from GGA-PBE.

Space-group type: P3m1, No. 156
Total moment, μB/f.u.: 0.002

Cell lengths 3.857, 3.857, 13.634 Å; angles 90.00, 90.00, 120.00 degrees
Fractional positions:
1 Hf 0.000 0.000 0.000
2 Zr 0.000 0.000 0.303
3 Zr 0.667 0.333 0.500
4 Zr 0.667 0.333 0.805
5 Bi 0.000 0.000 0.653
6 Bi 0.667 0.333 0.150
7 P 0.333 0.667 0.402
8 P 0.333 0.667 0.905



Here is crystalline HfPaBi at its relaxed geometry from the Open Quantum Materials Database. Energies are from GGA-PBE.

Space-group type: F-43m, No. 216
Total moment, μB/f.u.: 3.466

Cell lengths 5.170, 5.170, 5.170 Å; angles 60.00, 60.00, 60.00 degrees
Fractional positions:
1 Hf 0.000 0.000 0.000
2 Pa 0.750 0.750 0.750
3 Bi 0.500 0.500 0.500



Here is crystalline HfPaBi at its relaxed geometry from the Open Quantum Materials Database. Energies are from GGA-PBE.

Space-group type: F-43m, No. 216
Total moment, μB/f.u.: 0.036

Cell lengths 4.936, 4.936, 4.936 Å; angles 60.00, 60.00, 60.00 degrees
Fractional positions:
1 Hf 0.000 0.000 0.000
2 Pa 0.250 0.250 0.250
3 Bi 0.750 0.750 0.750



Here is crystalline HfBi2Pb2 at its relaxed geometry from the Open Quantum Materials Database. Energies are from GGA-PBE.

Space-group type: I4/mmm, No. 139
Total moment, μB/f.u.: 0.035

Cell lengths 7.821, 7.821, 7.821 Å; angles 145.64, 145.64, 49.38 degrees
Fractional positions:
1 Hf 0.000 0.000 0.000
2 Bi 0.250 0.750 0.500
3 Bi 0.750 0.250 0.500
4 Pb 0.402 0.402 0.000
5 Pb 0.598 0.598 0.000



Here is crystalline HfBiPd2 at its relaxed geometry from the Open Quantum Materials Database. Energies are from GGA-PBE.

Space-group type: F-43m, No. 216
Total moment, μB/f.u.: 0.003

Cell lengths 4.768, 4.768, 4.768 Å; angles 60.00, 60.00, 60.00 degrees
Fractional positions:
1 Hf 0.000 0.000 0.000
2 Bi 0.750 0.750 0.750
3 Pd 0.250 0.250 0.250
4 Pd 0.500 0.500 0.500



Here is crystalline Hf3Bi4Pd4 at its relaxed geometry from the Open Quantum Materials Database. Energies are from GGA-PBE.

Space-group type: Pm, No. 6
Total moment, μB/f.u.: 0.009

Cell lengths 7.073, 4.484, 7.784 Å; angles 90.00, 90.91, 90.00 degrees
Fractional positions:
1 Hf 0.000 0.000 0.000
2 Hf 0.042 0.500 0.438
3 Hf 0.542 0.000 0.989
4 Bi 0.294 0.500 0.117
5 Bi 0.302 0.000 0.663
6 Bi 0.695 0.500 0.768
7 Bi 0.716 0.000 0.333
8 Pd 0.096 0.500 0.799
9 Pd 0.280 0.000 0.316
10 Pd 0.829 0.500 0.126
11 Pd 0.902 0.000 0.647



Here is crystalline Hf3Bi4Pd4 at its relaxed geometry from the Open Quantum Materials Database. Energies are from GGA-PBE.

Space-group type: I-42m, No. 121
Total moment, μB/f.u.: 0.002

Cell lengths 7.839, 7.839, 7.839 Å; angles 131.28, 131.28, 71.38 degrees
Fractional positions:
1 Hf 0.000 0.000 0.000
2 Hf 0.250 0.750 0.500
3 Hf 0.750 0.250 0.500
4 Bi 0.000 0.500 0.500
5 Bi 0.269 0.269 0.000
6 Bi 0.500 0.000 0.500
7 Bi 0.731 0.731 0.000
8 Pd 0.104 0.637 0.000
9 Pd 0.363 0.363 0.467
10 Pd 0.637 0.104 0.000
11 Pd 0.896 0.896 0.533



Here is crystalline HfBi2Pd at its relaxed geometry from the Open Quantum Materials Database. Energies are from GGA-PBE.

Space-group type: F-43m, No. 216
Total moment, μB/f.u.: 0.000

Cell lengths 5.124, 5.124, 5.124 Å; angles 60.00, 60.00, 60.00 degrees
Fractional positions:
1 Hf 0.000 0.000 0.000
2 Bi 0.250 0.250 0.250
3 Bi 0.500 0.500 0.500
4 Pd 0.750 0.750 0.750



Here is crystalline HfBiPd at its relaxed geometry from the Open Quantum Materials Database. Energies are from GGA-PBE.

Space-group type: Pnma, No. 62
Total moment, μB/f.u.: 0.002

Cell lengths 6.445, 4.673, 8.287 Å; angles 90.00, 90.00, 90.00 degrees
Fractional positions:
1 Hf 0.017 0.250 0.245
2 Hf 0.483 0.750 0.745
3 Hf 0.517 0.250 0.255
4 Hf 0.983 0.750 0.755
5 Bi 0.225 0.250 0.916
6 Bi 0.275 0.750 0.416
7 Bi 0.725 0.250 0.584
8 Bi 0.775 0.750 0.084
9 Pd 0.168 0.250 0.581
10 Pd 0.332 0.750 0.081
11 Pd 0.668 0.250 0.919
12 Pd 0.832 0.750 0.419



Here is crystalline Hf2BiPd at its relaxed geometry from the Open Quantum Materials Database. Energies are from GGA-PBE.

Space-group type: F-43m, No. 216
Total moment, μB/f.u.: 1.758

Cell lengths 4.960, 4.960, 4.960 Å; angles 60.00, 60.00, 60.00 degrees
Fractional positions:
1 Hf 0.000 0.000 0.000
2 Hf 0.250 0.250 0.250
3 Bi 0.500 0.500 0.500
4 Pd 0.750 0.750 0.750



Here is crystalline Hf2ZrBi4Pd4 at its relaxed geometry from the Open Quantum Materials Database. Energies are from GGA-PBE.

Space-group type: Pm, No. 6
Total moment, μB/f.u.: 0.011

Cell lengths 6.984, 4.275, 8.189 Å; angles 90.00, 90.56, 90.00 degrees
Fractional positions:
1 Hf 0.000 0.000 0.000
2 Hf 0.431 0.500 0.509
3 Zr 0.908 0.500 0.568
4 Bi 0.186 0.000 0.671
5 Bi 0.270 0.500 0.180
6 Bi 0.666 0.000 0.355
7 Bi 0.709 0.500 0.899
8 Pd 0.081 0.000 0.344
9 Pd 0.304 0.500 0.853
10 Pd 0.606 0.000 0.698
11 Pd 0.863 0.500 0.211



Here is crystalline PmHfBi at its relaxed geometry from the Open Quantum Materials Database. Energies are from GGA-PBE.

Space-group type: F-43m, No. 216
Total moment, μB/f.u.: 2.405

Cell lengths 5.236, 5.236, 5.236 Å; angles 60.00, 60.00, 60.00 degrees
Fractional positions:
1 Pm 0.000 0.000 0.000
2 Hf 0.250 0.250 0.250
3 Bi 0.750 0.750 0.750



Here is crystalline PmHfBi at its relaxed geometry from the Open Quantum Materials Database. Energies are from GGA-PBE.

Space-group type: F-43m, No. 216
Total moment, μB/f.u.: 0.150

Cell lengths 5.048, 5.048, 5.048 Å; angles 60.00, 60.00, 60.00 degrees
Fractional positions:
1 Pm 0.000 0.000 0.000
2 Hf 0.500 0.500 0.500
3 Bi 0.750 0.750 0.750



Here is crystalline Hf3Bi4Pt4 at its relaxed geometry from the Open Quantum Materials Database. Energies are from GGA-PBE.

Space-group type: I-42m, No. 121
Total moment, μB/f.u.: 0.013

Cell lengths 7.865, 7.865, 7.865 Å; angles 130.91, 130.91, 71.96 degrees
Fractional positions:
1 Hf 0.000 0.000 0.000
2 Hf 0.250 0.750 0.500
3 Hf 0.750 0.250 0.500
4 Bi 0.000 0.500 0.500
5 Bi 0.276 0.276 0.000
6 Bi 0.500 0.000 0.500
7 Bi 0.724 0.724 0.000
8 Pt 0.095 0.640 0.000
9 Pt 0.360 0.360 0.454
10 Pt 0.640 0.095 0.000
11 Pt 0.905 0.905 0.546



Here is crystalline HfBiPt2 at its relaxed geometry from the Open Quantum Materials Database. Energies are from GGA-PBE.

Space-group type: F-43m, No. 216
Total moment, μB/f.u.: 0.001

Cell lengths 4.774, 4.774, 4.774 Å; angles 60.00, 60.00, 60.00 degrees
Fractional positions:
1 Hf 0.000 0.000 0.000
2 Bi 0.750 0.750 0.750
3 Pt 0.250 0.250 0.250
4 Pt 0.500 0.500 0.500



Here is crystalline Hf3Bi4Pt4 at its relaxed geometry from the Open Quantum Materials Database. Energies are from GGA-PBE.

Space-group type: Pm, No. 6
Total moment, μB/f.u.: 0.007

Cell lengths 7.431, 4.429, 7.566 Å; angles 90.00, 91.35, 90.00 degrees
Fractional positions:
1 Hf 0.000 0.000 0.000
2 Hf 0.013 0.500 0.394
3 Hf 0.576 0.000 0.945
4 Bi 0.264 0.000 0.651
5 Bi 0.312 0.500 0.068
6 Bi 0.642 0.500 0.686
7 Bi 0.675 0.000 0.317
8 Pt 0.052 0.500 0.786
9 Pt 0.218 0.000 0.284
10 Pt 0.794 0.500 0.088
11 Pt 0.872 0.000 0.637



Here is crystalline HfBiPt at its relaxed geometry from the Open Quantum Materials Database. Energies are from GGA-PBE.

Space-group type: Pnma, No. 62
Total moment, μB/f.u.: 0.000

Cell lengths 7.002, 4.015, 9.757 Å; angles 90.00, 90.00, 90.00 degrees
Fractional positions:
1 Hf 0.024 0.250 0.145
2 Hf 0.476 0.750 0.645
3 Hf 0.524 0.250 0.355
4 Hf 0.976 0.750 0.855
5 Bi 0.132 0.250 0.614
6 Bi 0.368 0.750 0.114
7 Bi 0.632 0.250 0.886
8 Bi 0.868 0.750 0.386
9 Pt 0.216 0.250 0.905
10 Pt 0.284 0.750 0.405
11 Pt 0.716 0.250 0.595
12 Pt 0.784 0.750 0.095



Here is crystalline Hf3Bi2Pt2 at its relaxed geometry from the Open Quantum Materials Database. Energies are from GGA-PBE.

Space-group type: R3m, No. 160
Total moment, μB/f.u.: 0.022

Cell lengths 8.431, 8.431, 8.431 Å; angles 33.38, 33.38, 33.38 degrees
Fractional positions:
1 Hf 0.000 0.000 0.000
2 Hf 0.237 0.237 0.237
3 Hf 0.495 0.495 0.495
4 Bi 0.117 0.117 0.117
5 Bi 0.628 0.628 0.628
6 Pt 0.370 0.370 0.370
7 Pt 0.888 0.888 0.888



Here is crystalline Hf3Zr3Bi2Pt at its relaxed geometry from the Open Quantum Materials Database. Energies are from GGA-PBE.

Space-group type: P-62m, No. 189
Total moment, μB/f.u.: 0.019

Cell lengths 7.967, 7.967, 3.688 Å; angles 90.00, 90.00, 120.00 degrees
Fractional positions:
1 Hf 0.000 0.606 0.000
2 Hf 0.394 0.394 0.000
3 Hf 0.606 0.000 0.000
4 Zr 0.000 0.251 0.500
5 Zr 0.251 0.000 0.500
6 Zr 0.749 0.749 0.500
7 Bi 0.333 0.667 0.500
8 Bi 0.667 0.333 0.500
9 Pt 0.000 0.000 0.000



Q: Which V values were calculated for the entries above? A: 21.80; 21.96; 32.58; 28.34; 30.34; 19.16; 22.44; 24.21; 23.78; 20.80; 21.57; 22.23; 33.83; 30.32; 24.71; 19.23; 22.63; 22.86; 23.09; 22.53, in Å³/atom.
Q: Which final energy values were calculated for the entries above? A: -7.89; -7.75; -6.89; -7.25; -4.33; -6.40; -6.45; -6.53; -5.69; -6.68; -7.14; -6.30; -5.58; -6.12; -7.02; -6.82; -6.87; -7.18; -7.43; -8.15, in eV per atom.